No. 1
An optimized crystal structure of K2BaRuBr8. Source: Alexandria via LeMat-Bulk, functional PBE-GGA.

Results
Its crystal system is triclinic. Its magnetization is 2.002 μB/f.u. Its energy relative to the elements, uncorrected is -1173 meV per atom.

Cell and atoms, written as CIF:
```
data_K2BaRuBr8
_chemical_formula_sum 'K2 Ba1 Ru1 Br8'
_symmetry_space_group_name_H-M 'P -1'
_symmetry_Int_Tables_number 2
_cell_length_a 6.3081
_cell_length_b 8.2534
_cell_length_c 9.3118
_cell_angle_alpha 90.01
_cell_angle_beta 90.01
_cell_angle_gamma 110.95
loop_
_symmetry_equiv_pos_as_xyz
'x,y,z'
'-x,-y,-z'
loop_
_atom_site_label
_atom_site_fract_x
_atom_site_fract_y
_atom_site_fract_z
K1 0.0009 0.0003 0.2561
Ba1 0.0000 0.5000 0.0000
Ru1 0.0000 0.5000 0.5000
Br1 0.2370 0.3178 0.5003
Br2 0.2494 0.6932 0.3067
Br3 0.2491 0.6936 0.6934
Br4 0.2811 0.2441 0.9997
```

***

No. 2
An optimized crystal structure of K2BaSbBr8. Source: Alexandria via LeMat-Bulk, functional PBE-GGA.

Results
Its crystal system is monoclinic. Its magnetization is 0.000 μB/f.u. Its energy relative to the elements, uncorrected is -1280 meV per atom.

Cell and atoms, written as CIF:
```
data_K2BaSbBr8
_chemical_formula_sum 'K2 Ba1 Sb1 Br8'
_symmetry_space_group_name_H-M 'P 1 2/m 1'
_symmetry_Int_Tables_number 10
_cell_length_a 6.6042
_cell_length_b 9.4820
_cell_length_c 8.3792
_cell_angle_alpha 90.00
_cell_angle_beta 110.13
_cell_angle_gamma 90.00
loop_
_symmetry_equiv_pos_as_xyz
'x,y,z'
'-x,-y,-z'
'-x,y,-z'
'x,-y,z'
loop_
_atom_site_label
_atom_site_fract_x
_atom_site_fract_y
_atom_site_fract_z
K1 0.0000 0.2485 0.0000
Ba1 0.0000 0.5000 0.5000
Sb1 0.0000 0.0000 0.5000
Br1 0.2369 0.0000 0.2945
Br2 0.2559 0.2079 0.7004
Br3 0.2601 0.5000 0.2437
```

***

No. 3
An optimized crystal structure of KBaSeBr2. Source: Alexandria via LeMat-Bulk, functional PBE-GGA.

Results
For the polymorph energy (0 for the lowest one), the calculation gives 0 meV/atom. Its crystal system is tetragonal. Its magnetization is 1.012 μB/f.u. Its energy relative to the elements, uncorrected is -1348 meV per atom.

Cell and atoms, written as CIF:
```
data_KBaSeBr2
_chemical_formula_sum 'K1 Ba1 Se1 Br2'
_symmetry_space_group_name_H-M 'P 4/m m m'
_symmetry_Int_Tables_number 123
_symmetry_space_group_name_Hall '-P 4 2'
_cell_length_a 6.3213
_cell_length_b 6.3213
_cell_length_c 6.3456
_cell_angle_alpha 90.00
_cell_angle_beta 90.00
_cell_angle_gamma 90.00
loop_
_atom_site_label
_atom_site_fract_x
_atom_site_fract_y
_atom_site_fract_z
K1 0.0000 0.0000 0.0000
Ba1 0.5000 0.5000 0.5000
Se1 0.5000 0.5000 0.0000
Br1 0.0000 0.5000 0.5000
```

***

No. 4
An optimized crystal structure of KBaSeBr2. Source: Alexandria via LeMat-Bulk, functional PBE-GGA.

Results
For the polymorph energy (0 for the lowest one), the calculation gives 242 meV/atom. Its crystal system is tetragonal. Its magnetization is 1.026 μB/f.u. Its energy relative to the elements, uncorrected is -1105 meV per atom.

Cell and atoms, written as CIF:
```
data_KBaSeBr2
_chemical_formula_sum 'K1 Ba1 Se1 Br2'
_symmetry_space_group_name_H-M 'P 4/m m m'
_symmetry_Int_Tables_number 123
_symmetry_space_group_name_Hall '-P 4 2'
_cell_length_a 5.8089
_cell_length_b 5.8089
_cell_length_c 5.8808
_cell_angle_alpha 90.00
_cell_angle_beta 90.00
_cell_angle_gamma 90.00
loop_
_atom_site_label
_atom_site_fract_x
_atom_site_fract_y
_atom_site_fract_z
K1 0.0000 0.0000 0.0000
Ba1 0.5000 0.5000 0.5000
Se1 0.0000 0.0000 0.5000
Br1 0.0000 0.5000 0.0000
```

***

Which of these has the highest magnetization? K2BaRuBr8

***

What did the third record say?
An optimized crystal structure of KBaSeBr2. Source: Alexandria via LeMat-Bulk, functional PBE-GGA.

Results
For the polymorph energy (0 for the lowest one), the calculation gives 0 meV/atom. Its crystal system is tetragonal. Its magnetization is 1.012 μB/f.u. Its energy relative to the elements, uncorrected is -1348 meV per atom.

Cell and atoms, written as CIF:
```
data_KBaSeBr2
_chemical_formula_sum 'K1 Ba1 Se1 Br2'
_symmetry_space_group_name_H-M 'P 4/m m m'
_symmetry_Int_Tables_number 123
_symmetry_space_group_name_Hall '-P 4 2'
_cell_length_a 6.3213
_cell_length_b 6.3213
_cell_length_c 6.3456
_cell_angle_alpha 90.00
_cell_angle_beta 90.00
_cell_angle_gamma 90.00
loop_
_atom_site_label
_atom_site_fract_x
_atom_site_fract_y
_atom_site_fract_z
K1 0.0000 0.0000 0.0000
Ba1 0.5000 0.5000 0.5000
Se1 0.5000 0.5000 0.0000
Br1 0.0000 0.5000 0.5000
```